! TiPdO3 | Alexandria via LeMat-Bulk | PBE | optimized geometry; values from VASP
&SYSTEM
  ibrav = 0, nat = 5, ntyp = 3
/
ATOMIC_SPECIES
O 16.00 O.upf
Ti 47.87 Ti.upf
Pd 106.42 Pd.upf
ATOMIC_POSITIONS crystal
O 0.0000 0.0000 0.5000
O 0.5000 0.0000 0.0000
O 0.0000 0.5000 0.0000
Ti 0.5000 0.5000 0.5000
Pd 0.0000 0.0000 0.0000
CELL_PARAMETERS angstrom
-1.6177 2.2844 -2.7055
2.6056 -1.2461 -2.6101
-2.3976 -2.8955 -1.0112
! - DFT total energy: -6.016 eV per atom
! - D(E_F): 5.2 states/eV/f.u.
! - Total magnetic moment: 1.1 μB per cell
! - Formation energy (no corrections): -0.42 eV/atom
! - SG: Pm-3m (221)